Record 1
# Ce6PuHg2N

Crystalline Ce6PuHg2N at its relaxed geometry (GGA-PBE, the Alexandria database).

a = 6.998 Å, b = 6.998 Å, c = 6.997 Å
α = 60.02°, β = 60.02°, γ = 90.01°
Fractional coordinates of all 10 atoms:
Ce 0.252 0.252 0.001
Ce 0.252 0.252 0.496
Ce 0.748 0.748 0.504
Ce 0.748 0.252 0.000
Ce 0.748 0.748 0.999
Ce 0.252 0.748 0.000
Hg 0.250 0.750 0.500
Hg 0.750 0.250 0.500
Pu 0.500 0.500 0.000
N 0.000 0.000 0.000

## Properties
Formation energy without anion corrections: -0.610 eV per atom
Density of states at the Fermi level: 1.34 states/eV per atom
Uncorrected energy: -65.0 eV/f.u.
Spin magnetization: 0.00 μB/atom

Record 2
# Ce12Sn4HgN3

Crystalline Ce12Sn4HgN3 at its relaxed geometry (GGA-PBE, the Alexandria database).

a = 8.823 Å, b = 8.823 Å, c = 8.823 Å
α = 109.47°, β = 109.47°, γ = 109.47°
Each line ends with the local moment (μB).
Fractional coordinates of all 20 atoms:
Ce 0.000 0.720 0.720  0.57
Ce 0.280 0.280 0.000  0.57
Ce 0.000 0.280 0.280  0.57
Ce 0.720 0.720 0.000  0.57
Ce 0.250 0.500 0.750  0.78
Ce 0.750 0.250 0.500  0.78
Ce 0.250 0.750 0.500  0.78
Ce 0.500 0.750 0.250  0.78
Ce 0.500 0.250 0.750  0.78
Ce 0.720 0.000 0.720  0.57
Ce 0.280 0.000 0.280  0.57
Ce 0.750 0.500 0.250  0.78
Sn 0.500 0.500 0.500  -0.03
Sn 0.000 0.000 0.500  -0.03
Sn 0.000 0.500 0.000  -0.03
Sn 0.500 0.000 0.000  -0.03
N 0.500 0.500 0.000  -0.04
N 0.500 0.000 0.500  -0.04
N 0.000 0.500 0.500  -0.04
Hg 0.000 0.000 0.000  0.01

## Properties
Formation energy without anion corrections: -0.645 eV per atom
Density of states at the Fermi level: 2.46 states/eV per atom
Uncorrected energy: -125.4 eV/f.u.
Spin magnetization: 0.48 μB/atom

Record 3
# Tb2CeHgN

Crystalline Tb2CeHgN at its relaxed geometry (GGA-PBE, the Alexandria database).

a = 4.828 Å, b = 4.867 Å, c = 4.867 Å
α = 90.00°, β = 90.00°, γ = 90.00°
Each line ends with the local moment (μB).
Fractional coordinates of all 5 atoms:
N 0.000 0.000 0.000  -0.02
Hg 0.500 0.500 0.500  -0.01
Tb 0.000 0.000 0.500  0.01
Tb 0.000 0.500 0.000  0.01
Ce 0.500 0.000 0.000  0.43

## Properties
Formation energy without anion corrections: -0.821 eV per atom
Density of states at the Fermi level: 1.37 states/eV per atom
Uncorrected energy: -27.9 eV/f.u.
Spin magnetization: 0.09 μB/atom

Record 4
# TbCe2HgN

Crystalline TbCe2HgN at its relaxed geometry (GGA-PBE, the Alexandria database).

a = 4.871 Å, b = 4.871 Å, c = 4.895 Å
α = 90.00°, β = 90.00°, γ = 90.00°
Each line ends with the local moment (μB).
Fractional coordinates of all 5 atoms:
Hg 0.500 0.500 0.500  -0.01
Ce 0.500 0.000 0.000  0.55
Ce 0.000 0.500 0.000  0.55
Tb 0.000 0.000 0.500  0.03
N 0.000 0.000 0.000  -0.03

## Properties
Formation energy without anion corrections: -0.765 eV per atom
Density of states at the Fermi level: 1.94 states/eV per atom
Uncorrected energy: -28.9 eV/f.u.
Spin magnetization: 0.25 μB/atom

Record 5
# Ce2YHgN

Crystalline Ce2YHgN at its relaxed geometry (GGA-PBE, the Alexandria database).

a = 4.875 Å, b = 4.875 Å, c = 4.882 Å
α = 90.00°, β = 90.00°, γ = 90.00°
Each line ends with the local moment (μB).
Fractional coordinates of all 5 atoms:
Ce 0.500 0.000 0.000  0.57
Ce 0.000 0.500 0.000  0.57
N 0.000 0.000 0.000  -0.04
Hg 0.500 0.500 0.500  -0.01
Y 0.000 0.000 0.500  0.02

## Properties
Formation energy without anion corrections: -0.769 eV per atom
Density of states at the Fermi level: 1.93 states/eV per atom
Uncorrected energy: -30.8 eV/f.u.
Spin magnetization: 0.25 μB/atom

Record 6
# NaCe2Hg4

Crystalline NaCe2Hg4 at its relaxed geometry (GGA-PBE, the Alexandria database).

a = 5.290 Å, b = 5.290 Å, c = 8.822 Å
α = 107.45°, β = 107.45°, γ = 90.00°
Each line ends with the local moment (μB).
Fractional coordinates of all 7 atoms:
Hg 0.000 0.500 0.000  0.03
Hg 0.500 0.000 0.000  0.03
Hg 0.816 0.816 0.633  0.01
Hg 0.184 0.184 0.367  0.01
Ce 0.620 0.620 0.239  1.13
Ce 0.380 0.380 0.761  1.13
Na 0.000 0.000 0.000  0.00

## Properties
Density of states at the Fermi level: 2.79 states/eV per atom
Energy relative to the elements: 45 kJ/mol of formula units
Uncorrected energy: -13.9 eV/f.u.
Spin magnetization: 0.42 μB/atom

Record 7
# Na2CeHg

Crystalline Na2CeHg at its relaxed geometry (GGA-PBE, the Alexandria database).

a = 3.289 Å, b = 3.289 Å, c = 12.278 Å
α = 82.30°, β = 82.30°, γ = 60.00°
Each line ends with the local moment (μB).
Fractional coordinates of all 4 atoms:
Hg 0.500 0.500 0.500  0.01
Na 0.094 0.094 0.719  0.00
Na 0.906 0.906 0.281  0.00
Ce 0.000 0.000 0.000  0.74

## Properties
Density of states at the Fermi level: 1.76 states/eV per atom
Energy relative to the elements: 45 kJ/mol of formula units
Uncorrected energy: -8.4 eV/f.u.
Spin magnetization: 0.24 μB/atom

Record 8
# Na4CeHg5

Crystalline Na4CeHg5 at its relaxed geometry (GGA-PBE, the Alexandria database).

a = 3.697 Å, b = 3.697 Å, c = 19.346 Å
α = 90.00°, β = 90.00°, γ = 90.00°
Each line ends with the local moment (μB).
Fractional coordinates of all 10 atoms:
Hg 0.500 0.500 0.103  0.01
Hg 0.500 0.500 0.500  0.00
Hg 0.500 0.500 0.695  0.00
Hg 0.500 0.500 0.897  0.01
Hg 0.500 0.500 0.305  0.00
Na 0.000 0.000 0.203  0.00
Na 0.000 0.000 0.598  0.00
Na 0.000 0.000 0.797  0.00
Na 0.000 0.000 0.402  0.00
Ce 0.000 0.000 0.000  0.94

## Properties
Density of states at the Fermi level: 1.09 states/eV per atom
Energy relative to the elements: -240 kJ/mol of formula units
Uncorrected energy: -15.2 eV/f.u.
Spin magnetization: 0.12 μB/atom

Record 9
# NaCeHg

Crystalline NaCeHg at its relaxed geometry (GGA-PBE, the Alexandria database).

a = 3.341 Å, b = 3.341 Å, c = 7.971 Å
α = 102.10°, β = 102.10°, γ = 90.00°
Each line ends with the local moment (μB).
Fractional coordinates of all 3 atoms:
Na 0.020 0.020 0.040  0.00
Ce 0.314 0.314 0.627  0.85
Hg 0.666 0.666 0.332  0.00

## Properties
Density of states at the Fermi level: 2.33 states/eV per atom
Energy relative to the elements: -2 kJ/mol of formula units
Uncorrected energy: -7.6 eV/f.u.
Spin magnetization: 0.34 μB/atom

Record 10
# NaCe2Hg4

Crystalline NaCe2Hg4 at its relaxed geometry (GGA-PBE, the Alexandria database).

a = 5.215 Å, b = 5.215 Å, c = 9.076 Å
α = 73.30°, β = 73.30°, γ = 60.00°
Each line ends with the local moment (μB).
Fractional coordinates of all 7 atoms:
Hg 0.127 0.127 0.620  0.02
Hg 0.376 0.376 0.873  0.01
Hg 0.873 0.873 0.380  0.02
Hg 0.624 0.624 0.127  0.01
Ce 0.249 0.249 0.252  0.93
Ce 0.751 0.751 0.748  0.93
Na 0.000 0.000 0.000  0.00

## Properties
Density of states at the Fermi level: 2.23 states/eV per atom
Energy relative to the elements: -115 kJ/mol of formula units
Uncorrected energy: -15.6 eV/f.u.
Spin magnetization: 0.31 μB/atom

Record 11
# Na2CeHg3

Crystalline Na2CeHg3 at its relaxed geometry (GGA-PBE, the Alexandria database).

a = 3.708 Å, b = 3.708 Å, c = 11.643 Å
α = 90.00°, β = 90.00°, γ = 90.00°
Each line ends with the local moment (μB).
Fractional coordinates of all 6 atoms:
Hg 0.000 0.000 0.670  0.02
Hg 0.000 0.000 0.000  0.01
Hg 0.000 0.000 0.330  0.02
Na 0.500 0.500 0.166  0.00
Na 0.500 0.500 0.834  0.00
Ce 0.500 0.500 0.500  1.04

## Properties
Density of states at the Fermi level: 1.38 states/eV per atom
Energy relative to the elements: -145 kJ/mol of formula units
Uncorrected energy: -11.0 eV/f.u.
Spin magnetization: 0.25 μB/atom

Record 12
# NaCeHg4

Crystalline NaCeHg4 at its relaxed geometry (GGA-PBE, the Alexandria database).

a = 4.897 Å, b = 8.697 Å, c = 7.723 Å
α = 90.00°, β = 108.36°, γ = 90.00°
Each line ends with the local moment (μB).
Fractional coordinates of all 12 atoms:
Hg 0.332 0.997 0.664  0.01
Hg 0.000 0.500 0.000  0.01
Hg 0.000 0.000 0.000  0.01
Hg 0.668 0.003 0.336  0.01
Hg 0.503 0.750 0.006  0.00
Hg 0.497 0.250 0.994  0.00
Hg 0.668 0.497 0.336  0.01
Hg 0.332 0.503 0.664  0.01
Na 0.149 0.250 0.298  0.00
Na 0.851 0.750 0.702  0.00
Ce 0.836 0.250 0.671  0.99
Ce 0.164 0.750 0.329  0.99

## Properties
Density of states at the Fermi level: 1.82 states/eV per atom
Energy relative to the elements: -121 kJ/mol of formula units
Uncorrected energy: -9.7 eV/f.u.
Spin magnetization: 0.21 μB/atom

Record 13
# NaCeHg6

Crystalline NaCeHg6 at its relaxed geometry (GGA-PBE, the Alexandria database).

a = 5.197 Å, b = 6.766 Å, c = 6.766 Å
α = 120.01°, β = 90.00°, γ = 90.00°
Each line ends with the local moment (μB).
Fractional coordinates of all 8 atoms:
Hg 0.000 0.076 0.413  0.01
Hg 0.000 0.586 0.414  0.01
Hg 0.000 0.587 0.924  0.01
Hg 0.500 0.914 0.577  0.01
Hg 0.500 0.423 0.086  0.01
Hg 0.500 0.914 0.086  0.01
Na 0.500 0.416 0.584  0.00
Ce 0.000 0.083 0.917  1.01

## Properties
Density of states at the Fermi level: 1.44 states/eV per atom
Energy relative to the elements: -188 kJ/mol of formula units
Uncorrected energy: -11.0 eV/f.u.
Spin magnetization: 0.18 μB/atom